Here is a relaxed structure of BaMn2Tl from Alexandria. Energies are from GGA-PBE.

Properties
formation energy from the elements	0.6221	eV per atom
Fermi-level density of states	12.6	states/eV/f.u.
space group	No. 225
E_tot	-20.14	eV per cell
excess energy over the best structure of this formula in the dataset	380	meV/atom

a = 5.260 Å, b = 5.260 Å, c = 5.260 Å
α = 60.00°, β = 60.00°, γ = 60.00°
Site moments in Bohr magnetons follow the coordinates.
Fractional coordinates of all 4 atoms:
Ba (0.000, 0.000, 0.000)  0.05
Tl (0.500, 0.500, 0.500)  -0.05
Mn (0.250, 0.250, 0.250)  4.02
Mn (0.750, 0.750, 0.750)  4.02